Record 1
Entry from Alexandria: a relaxed Fe2Co2Re crystal (PBE).

a b c (Å): 6.718 6.718 2.580
angles (deg): 90.00 90.00 90.00
Element x y z (fractional)
Fe  0.121  0.379  0.000
Fe  0.379  0.879  0.000
Fe  0.621  0.121  0.000
Fe  0.879  0.621  0.000
Co  0.176  0.676  0.500
Co  0.324  0.176  0.500
Co  0.676  0.824  0.500
Co  0.824  0.324  0.500
Re  0.000  0.000  0.000
Re  0.500  0.500  0.000

The calculated formation energy is 5.237 kcal/mol of atoms. The calculation puts the total magnetization at 0.913 μB per atom. The space group is P4/mbm (127). As for the crystal system: tetragonal. Its energy is -8.490 eV/atom. The calculation puts the energy relative to the lowest polymorph listed for this composition at 0.13 eV per formula unit.

***

Record 2
Entry from Alexandria: a relaxed HoErTm2 crystal (PBE).

a b c (Å): 4.944 4.944 4.940
angles (deg): 90.00 90.00 90.00
Element x y z (fractional)
Ho  0.000  0.000  0.000
Er  0.500  0.500  0.000
Tm  0.000  0.500  0.500
Tm  0.500  0.000  0.500

The calculated formation energy is 0.588 kcal/mol of atoms. The calculation puts the total magnetization at 0.000 μB per atom. The space group is P4/mmm (123). As for the crystal system: tetragonal. Its energy is -4.495 eV/atom. The calculation puts the energy relative to the lowest polymorph listed for this composition at 0.11 eV per formula unit.

***

Record 3
Entry from Alexandria: a relaxed NaHfBr3 crystal (PBE).

a b c (Å): 5.214 5.214 5.214
angles (deg): 90.00 90.00 90.00
Element x y z (fractional)
Na  0.000  0.000  0.000
Hf  0.500  0.500  0.500
Br  0.000  0.000  0.500
Br  0.000  0.500  0.000
Br  0.500  0.000  0.000

The calculation puts the total magnetization at 0.378 μB per atom. The space group is Pm-3m (221). As for the crystal system: cubic. Its energy is -3.307 eV/atom. The calculation puts the energy relative to the lowest polymorph listed for this composition at 3.82 eV per formula unit. The uncorrected formation energy is -0.048 eV per atom.

***

Q: Among the records above, which one has the highest energy?
A: NaHfBr3